ScOsF3: relaxed, PBE-GGA.

Values from the calculation:
The value obtained for the energy above the most stable polymorph in this dataset is 0.0 kJ/mol of atoms. As for the uncorrected formation energy: -1365 meV/atom. The value obtained for the density of states at the Fermi level is 0.91 states/eV/atom. Its calculated density is 6.4 g/cm3. The space group is No. 221.

Cell: 4.242 4.242 4.242 Å, 90.00 90.00 90.00°
Element x y z (fractional)
Sc (0.000, 0.000, 0.000)
Os (0.500, 0.500, 0.500)
F (0.000, 0.000, 0.500)
F (0.000, 0.500, 0.000)
F (0.500, 0.000, 0.000)